## MgFe2PbF (GGA+U)

Data for MgFe2PbF after structural relaxation.

a = 4.9517 Å, b = 5.5839 Å, c = 4.9517 Å
α = 90.00°, β = 90.00°, γ = 90.00°
With the nearest neighbours (Å) after each atom.
Element x y z (fractional)
Pb: 0.0000 0.5000 0.0000  2 Mg 2.79
Mg: 0.0000 0.0000 0.0000  4 Fe 2.48
Fe: 0.0000 0.0000 0.5000  2 Mg 2.48
Fe: 0.5000 0.0000 0.0000  2 Mg 2.48
F: 0.5000 0.5000 0.5000  4 Pb 3.50, 8 Fe 3.73

Calculated values
The total magnetization is 6.941 μB/f.u. The value obtained for the total energy is -2.90 eV per atom. Its space-group type is P4/mmm.